# PBE PaZnIrPd, relaxed
data_PaZnIrPd
_chemical_formula_sum 'Pa4 Zn4 Ir4 Pd4'
_cell_length_a 6.6533
_cell_length_b 6.6533
_cell_length_c 6.6533
_cell_angle_alpha 90.00
_cell_angle_beta 90.00
_cell_angle_gamma 90.00
_space_group_name_H-M_alt 'F -4 3 m'
_space_group_IT_number 216
_space_group_name_Hall 'F -4 2 3'
loop_
_atom_site_label
_atom_site_fract_x
_atom_site_fract_y
_atom_site_fract_z
Pa1 0.0000 0.0000 0.0000
Zn1 0.0000 0.0000 0.5000
Ir1 0.2500 0.2500 0.2500
Pd1 0.2500 0.2500 0.7500
# **Crystal system**: cubic
# **Energy**: -6.741 eV per atom

# PBE ZrPaIrPd, relaxed
data_ZrPaIrPd
_chemical_formula_sum 'Zr4 Pa4 Ir4 Pd4'
_cell_length_a 6.8303
_cell_length_b 6.8303
_cell_length_c 6.8303
_cell_angle_alpha 90.00
_cell_angle_beta 90.00
_cell_angle_gamma 90.00
_space_group_name_H-M_alt 'F -4 3 m'
_space_group_IT_number 216
_space_group_name_Hall 'F -4 2 3'
loop_
_atom_site_label
_atom_site_fract_x
_atom_site_fract_y
_atom_site_fract_z
Zr1 0.0000 0.0000 0.0000
Pa1 0.0000 0.0000 0.5000
Ir1 0.2500 0.2500 0.2500
Pd1 0.2500 0.2500 0.7500
# **Crystal system**: cubic
# **Energy**: -8.583 eV per atom

# PBE Pm5Pa2Ir6, relaxed
data_Pm5Pa2Ir6
_chemical_formula_sum 'Pm10 Pa4 Ir12'
_cell_length_a 11.6673
_cell_length_b 14.0329
_cell_length_c 4.0266
_cell_angle_alpha 90.00
_cell_angle_beta 90.00
_cell_angle_gamma 90.00
_space_group_name_H-M_alt 'P b a m'
_space_group_IT_number 55
_space_group_name_Hall '-P 2 2ab'
loop_
_atom_site_label
_atom_site_fract_x
_atom_site_fract_y
_atom_site_fract_z
Pm1 0.0000 0.0000 0.0000
Pm2 0.0829 0.2521 0.0000
Pm3 0.1711 0.5055 0.0000
Pa1 0.1670 0.7169 0.5000
Ir1 0.0036 0.3999 0.5000
Ir2 0.1583 0.1024 0.5000
Ir3 0.1677 0.8369 0.0000
# **Crystal system**: orthorhombic
# **Energy**: -7.926 eV per atom